Entry from the Alexandria database: an optimized crystal structure of NaPmTm (PBE-GGA).

Cell: 3.515 3.515 16.255 Å, 90.00 90.00 90.00°
Space group I4mm (No. 107)
Asymmetric unit:
Na 0.000 0.000 0.000
Pm 0.000 0.000 0.679
Tm 0.000 0.000 0.327

Properties
Crystal system: tetragonal
Energy above the most stable polymorph in this dataset in meV/atom: 22
Density of states at the Fermi level in states/eV/atom: 1.270
Total magnetization in μB per atom: 0.00